(1)
! Ac3Si2Ni2N3 | the Alexandria database | PBE-GGA | relaxed; values from VASP
&SYSTEM
  ibrav = 0, nat = 10, ntyp = 4
/
ATOMIC_SPECIES
Ac 227.00 Ac.upf
Si 28.09 Si.upf
Ni 58.69 Ni.upf
N 14.01 N.upf
ATOMIC_POSITIONS crystal
Ac 0.6230 0.6230 0.2460
Ac 0.3770 0.3770 0.7540
Ac 0.0000 0.0000 0.0000
Si 0.8041 0.8041 0.6082
Si 0.1959 0.1959 0.3918
Ni 0.7500 0.2500 0.5000
Ni 0.2500 0.7500 0.5000
N 0.8836 0.8836 0.7672
N 0.5000 0.5000 0.0000
N 0.1164 0.1164 0.2328
CELL_PARAMETERS angstrom
3.9466 0.0000 0.0000
0.0000 3.9466 0.0000
-1.9733 -1.9733 11.2191
! SG = No. 139
! DFT total energy = -69.85 eV per cell
! energy relative to the elements, uncorrected = -1014 meV per atom
! N(E_F) = 0.453 states/eV per atom

(2)
! Ac2SiNiN | the Alexandria database | PBE-GGA | relaxed; values from VASP
&SYSTEM
  ibrav = 0, nat = 10, ntyp = 4
/
ATOMIC_SPECIES
Ac 227.00 Ac.upf
Si 28.09 Si.upf
Ni 58.69 Ni.upf
N 14.01 N.upf
ATOMIC_POSITIONS crystal
Ac 0.7500 0.7891 0.6109
Ac 0.7500 0.7751 0.0362
Ac 0.2500 0.2109 0.3891
Ac 0.2500 0.2249 0.9638
Si 0.2500 0.6659 0.3006
Si 0.7500 0.3341 0.6994
Ni 0.2500 0.5300 0.7544
Ni 0.7500 0.4700 0.2456
N 0.2500 0.8323 0.8330
N 0.7500 0.1677 0.1670
CELL_PARAMETERS angstrom
-3.6432 0.9680 1.4368
-2.7512 -4.8840 -3.6857
2.2123 -3.3351 7.8568
! SG = No. 11
! DFT total energy = -62.94 eV per cell
! energy relative to the elements, uncorrected = -744 meV per atom
! N(E_F) = 0.861 states/eV per atom

(3)
! Ac2NiSnN | the Alexandria database | PBE-GGA | relaxed; values from VASP
&SYSTEM
  ibrav = 0, nat = 10, ntyp = 4
/
ATOMIC_SPECIES
Ac 227.00 Ac.upf
Ni 58.69 Ni.upf
Sn 118.71 Sn.upf
N 14.01 N.upf
ATOMIC_POSITIONS crystal
Ac 0.7500 0.7880 0.6289
Ac 0.7500 0.7813 0.0287
Ac 0.2500 0.2120 0.3711
Ac 0.2500 0.2187 0.9713
Ni 0.2500 0.5619 0.7673
Ni 0.7500 0.4381 0.2327
Sn 0.2500 0.6877 0.3067
Sn 0.7500 0.3123 0.6933
N 0.2500 0.8465 0.8411
N 0.7500 0.1535 0.1589
CELL_PARAMETERS angstrom
4.0360 0.0000 0.0000
0.0000 7.0859 0.0156
0.0000 -3.0253 8.7920
! SG = No. 11
! DFT total energy = -60.23 eV per cell
! energy relative to the elements, uncorrected = -758 meV per atom
! N(E_F) = 0.492 states/eV per atom

(4)
! AcNi2SnN | the Alexandria database | PBE-GGA | relaxed; values from VASP
&SYSTEM
  ibrav = 0, nat = 10, ntyp = 4
/
ATOMIC_SPECIES
Ac 227.00 Ac.upf
Ni 58.69 Ni.upf
Sn 118.71 Sn.upf
N 14.01 N.upf
ATOMIC_POSITIONS crystal
Ac 0.4571 0.9141 0.7500
Ac 0.5429 0.0859 0.2500
Ni 0.1483 0.2966 0.9421
Ni 0.8517 0.7034 0.0579
Ni 0.1483 0.2966 0.5579
Ni 0.8517 0.7034 0.4421
Sn 0.7309 0.4617 0.7500
Sn 0.2691 0.5383 0.2500
N 0.0000 0.0000 0.0000
N 0.0000 0.0000 0.5000
CELL_PARAMETERS angstrom
-1.7059 -3.2631 -1.4828
5.7875 0.6654 -2.8092
2.9911 -3.9397 5.2290
! SG = No. 63
! DFT total energy = -61.05 eV per cell
! energy relative to the elements, uncorrected = -505 meV per atom
! N(E_F) = 0.993 states/eV per atom

(5)
! SrAcNiN2 | the Alexandria database | PBE-GGA | relaxed; values from VASP
&SYSTEM
  ibrav = 0, nat = 10, ntyp = 4
/
ATOMIC_SPECIES
Sr 87.62 Sr.upf
Ac 227.00 Ac.upf
Ni 58.69 Ni.upf
N 14.01 N.upf
ATOMIC_POSITIONS crystal
Sr 0.0002 0.5000 0.7500
Sr 0.9998 0.5000 0.2500
Ac 0.4999 0.0000 0.2500
Ac 0.5001 0.0000 0.7500
Ni 0.0000 0.0000 0.0000
Ni 0.0000 0.0000 0.5000
N 0.7534 0.7782 0.0000
N 0.7534 0.2218 0.5000
N 0.2466 0.7782 0.5000
N 0.2466 0.2218 0.0000
CELL_PARAMETERS angstrom
5.6911 0.0000 0.0000
0.0000 5.1747 0.6267
0.0000 -0.8671 7.1335
! SG = No. 49
! DFT total energy = -61.88 eV per cell
! energy relative to the elements, uncorrected = -544 meV per atom
! N(E_F) = 0.789 states/eV per atom

(6)
! Ac2Tc2NiN6 | the Alexandria database | PBE-GGA | relaxed; values from VASP
&SYSTEM
  ibrav = 0, nat = 11, ntyp = 4
/
ATOMIC_SPECIES
Ac 227.00 Ac.upf
Tc 98.00 Tc.upf
Ni 58.69 Ni.upf
N 14.01 N.upf
ATOMIC_POSITIONS crystal
Ac 0.7875 0.7875 0.6376
Ac 0.2125 0.2125 0.3624
Tc 0.4189 0.4189 0.7433
Tc 0.5811 0.5811 0.2567
Ni 0.0000 0.0000 0.0000
N 0.7630 0.7630 0.2405
N 0.2335 0.7630 0.2405
N 0.7630 0.2335 0.2405
N 0.2370 0.7665 0.7595
N 0.7665 0.2370 0.7595
N 0.2370 0.2370 0.7595
CELL_PARAMETERS angstrom
5.9611 0.0000 0.0000
2.9805 5.1624 0.0000
2.9805 1.7208 5.3064
! SG = No. 166
! DFT total energy = -87.39 eV per cell
! energy relative to the elements, uncorrected = -246 meV per atom
! N(E_F) = 0.246 states/eV per atom